No. 1
4
Lattice="-8.486 -2.423 -4.263 -7.311 -5.274 -3.845 -8.868 -3.880 -1.539" Properties=species:S:1:pos:R:3 comment="CuTcSe2 | the Alexandria database | PBE | optimized geometry" de_polymorph_kj_per_mol_atoms=13.7 formation_energy_uncorrected_ev_per_atom=0.1079 pbc="T T T"
Tc -12.216 -5.734 -4.778
Se -5.392 -2.531 -2.109
Se -0.747 -0.351 -0.292
Cu -18.641 -8.749 -7.291

---

No. 2
18
Lattice="8.378 1.029 0.730 5.033 6.777 0.730 5.033 2.929 6.155" Properties=species:S:1:pos:R:3 comment="Li3TaTl2F12 | the Alexandria database | PBE | optimized geometry" formation_energy_uncorrected_ev_per_atom=-2.4899 pbc="T T T"
Li 4.189 0.515 0.365
Li 2.516 3.389 0.365
Li 2.516 1.465 3.077
F 9.242 5.379 6.060
F 6.559 1.536 1.089
F 13.869 5.791 6.525
F 9.202 5.356 1.555
F 11.884 9.200 6.525
F 4.575 2.663 4.307
F 4.575 4.945 1.089
F 11.083 4.333 3.074
F 9.242 7.497 3.074
F 13.869 8.073 3.308
F 7.360 6.402 4.541
F 9.202 3.238 4.541
Tl 7.867 4.579 3.248
Tl 10.577 6.157 4.367
Ta 0.000 0.000 0.000

---

No. 3
14
Lattice="6.292 0.000 0.086 0.000 7.814 0.000 -2.341 0.000 8.939" Properties=species:S:1:pos:R:3 comment="RbGaSnS4 | the Alexandria database | PBE | optimized geometry" formation_energy_uncorrected_ev_per_atom=-0.7098 pbc="T T T"
S 1.913 1.953 8.004
S 5.294 7.622 2.643
S 2.039 5.860 1.021
S -1.342 3.715 6.382
S 2.020 1.953 4.458
S 5.294 4.099 2.643
S -1.342 0.192 6.382
S 1.932 5.860 4.567
Sn 0.313 1.953 6.159
Sn 3.638 5.860 2.866
Rb 1.296 1.953 0.997
Rb 2.656 5.860 8.028
Ga 0.483 5.860 2.762
Ga 3.469 1.953 6.263

---

No. 4
4
Lattice="4.157 -2.064 -2.973 -1.896 4.236 2.973 -2.930 0.787 4.601" Properties=species:S:1:pos:R:3 comment="BeCo2B | the Alexandria database | PBE | optimized geometry" de_polymorph_kj_per_mol_atoms=62.9 formation_energy_ev_per_atom=0.308 pbc="T T T"
Co -1.536 1.599 2.411
Co -3.290 3.424 5.163
B -2.413 2.511 3.787
Be 0.000 0.000 0.000

---

No. 5
4
Lattice="-1.236 3.541 1.105 -2.152 -0.122 -2.017 -5.388 -2.364 1.551" Properties=species:S:1:pos:R:3 comment="Cr2TcSb | the Alexandria database | PBE | optimized geometry" formation_energy_uncorrected_ev_per_atom=0.3034 pbc="T T T"
Cr -3.942 -1.360 -0.049
Cr -5.216 -2.247 1.368
Tc -6.273 -0.094 0.203
Sb -2.503 1.149 0.436

---

No. 6
12
Lattice="4.115 0.000 0.000 0.000 8.428 0.135 -2.057 -2.603 8.748" Properties=species:S:1:pos:R:3 comment="LiSm2Th3Se6 | the Alexandria database | PBE | optimized geometry" formation_energy_uncorrected_ev_per_atom=-1.6173 pbc="T T T"
Th 2.057 -0.324 5.787
Th 2.057 4.214 0.067
Th 0.000 6.149 3.095
Se 2.057 -0.612 8.765
Se 2.057 4.000 3.005
Se 0.000 1.825 5.877
Se 0.000 5.971 6.146
Se 2.057 -0.146 2.737
Se 0.000 6.437 0.117
Li 2.057 0.000 0.000
Sm 2.057 3.894 5.900
Sm 0.000 1.931 2.982